Tb3SmHg5 | GGA-PBE | optimized geometry

Cell: 9.1735 9.1735 6.5250 Å, 90.00 90.00 120.00°
Space group P6_3/mcm (No. 193)
Asymmetric unit:
Tb  0.0000  0.3699  0.2500 x6
Sm  0.0000  0.0000  0.0000 x2
Hg  0.0000  0.3013  0.7500 x6
Hg  0.3333  0.6667  0.0000 x4

* total magnetization: 0.0 μB per cell
* mass density: 11.38 Mg/m³
* energy of formation: -0.3953 eV/atom
* calculated total energy: -47.35 eV/cell
* Fermi-level density of states: 17.3 states/eV/cell

=====

TbSm2Hg4 | GGA-PBE | optimized geometry

Cell: 5.1499 5.1499 26.5757 Å, 90.00 90.00 120.00°
Space group R-3m (No. 166, hexagonal axes)
Asymmetric unit:
Tb  0.0000  0.0000  0.0000 x3
Sm  0.0000  0.0000  0.2440 x6
Hg  0.0000  0.0000  0.1263 x6
Hg  0.0000  0.0000  0.3726 x6

* offset from the most stable computed form: 0.00 eV/f.u.
* total magnetization: 0.0 μB per cell
* mass density: 10.30 Mg/m³
* energy of formation: -0.3439 eV/atom
* calculated total energy: -53.05 eV/cell
* Fermi-level density of states: 16.5 states/eV/cell

=====

TbSmHg | GGA-PBE | optimized geometry

Cell: 7.299 7.299 7.299 Å, 90.00 90.00 90.00°
Space group F-43m (No. 216)
Asymmetric unit:
Tb  0.000  0.000  0.000 x4
Sm  0.000  0.000  0.500 x4
Hg  0.250  0.250  0.250 x4

* offset from the most stable computed form: 0.75 eV/f.u.
* total magnetization: 0.6 μB per cell
* mass density: 8.71 Mg/m³
* energy of formation: -0.0976 eV/atom
* calculated total energy: -39.78 eV/cell
* Fermi-level density of states: 19.2 states/eV/cell

=====

TbSmHg2 | GGA-PBE | optimized geometry

Cell: 3.8214 3.8214 27.5030 Å, 90.00 90.00 120.00°
Space group R3m (No. 160, hexagonal axes)
Asymmetric unit:
Tb  0.0000  0.0000  0.0000 x3
Sm  0.0000  0.0000  0.8338 x3
Hg  0.0000  0.0000  0.2515 x3
Hg  0.0000  0.0000  0.4156 x3

* offset from the most stable computed form: 0.60 eV/f.u.
* total magnetization: 0.0 μB per cell
* mass density: 10.18 Mg/m³
* energy of formation: -0.3263 eV/atom
* calculated total energy: -33.77 eV/cell
* Fermi-level density of states: 10.8 states/eV/cell

=====

TbSm2Hg2 | GGA-PBE | optimized geometry

Cell: 3.783 5.369 13.994 Å, 90.00 97.76 90.00°
Space group P2_1/m (No. 11)
Asymmetric unit:
Tb  0.147  0.250  0.292 x2
Sm  0.047  0.750  0.092 x2
Sm  0.234  0.750  0.470 x2
Hg  0.358  0.250  0.716 x2
Hg  0.448  0.750  0.896 x2

* offset from the most stable computed form: 0.00 eV/f.u.
* total magnetization: 0.8 μB per cell
* mass density: 10.15 Mg/m³
* energy of formation: -0.3777 eV/atom
* calculated total energy: -33.12 eV/cell
* Fermi-level density of states: 11.4 states/eV/cell

=====

TbSm2Hg3 | GGA-PBE | optimized geometry

Cell: 5.3392 5.3392 13.0889 Å, 90.00 90.00 120.00°
Space group P-3m1 (No. 164)
Asymmetric unit:
Tb  0.3333  0.6667  0.1668 x2
Sm  0.0000  0.0000  0.0000 x1
Sm  0.0000  0.0000  0.5000 x1
Sm  0.3333  0.6667  0.6680 x2
Hg  0.0000  0.0000  0.2478 x2
Hg  0.3333  0.6667  0.4149 x2
Hg  0.3333  0.6667  0.9174 x2

* total magnetization: 2.2 μB per cell
* mass density: 10.91 Mg/m³
* energy of formation: -0.4726 eV/atom
* calculated total energy: -35.62 eV/cell
* Fermi-level density of states: 14.9 states/eV/cell

=====

Which value of calculated total energy does entry 1 give?
-47.35 eV/cell

=====

What did the first record say?
Tb3SmHg5 | GGA-PBE | optimized geometry

Cell: 9.1735 9.1735 6.5250 Å, 90.00 90.00 120.00°
Space group P6_3/mcm (No. 193)
Asymmetric unit:
Tb  0.0000  0.3699  0.2500 x6
Sm  0.0000  0.0000  0.0000 x2
Hg  0.0000  0.3013  0.7500 x6
Hg  0.3333  0.6667  0.0000 x4

* total magnetization: 0.0 μB per cell
* mass density: 11.38 Mg/m³
* energy of formation: -0.3953 eV/atom
* calculated total energy: -47.35 eV/cell
* Fermi-level density of states: 17.3 states/eV/cell

=====

Please write out number 3 again, unchanged.
TbSmHg | GGA-PBE | optimized geometry

Cell: 7.299 7.299 7.299 Å, 90.00 90.00 90.00°
Space group F-43m (No. 216)
Asymmetric unit:
Tb  0.000  0.000  0.000 x4
Sm  0.000  0.000  0.500 x4
Hg  0.250  0.250  0.250 x4

* offset from the most stable computed form: 0.75 eV/f.u.
* total magnetization: 0.6 μB per cell
* mass density: 8.71 Mg/m³
* energy of formation: -0.0976 eV/atom
* calculated total energy: -39.78 eV/cell
* Fermi-level density of states: 19.2 states/eV/cell